Density functional theory data (PBE-GGA) for crystalline HoAs2 at its relaxed geometry.

Summary:
* final energy: -5.385 eV per atom
* crystal system: monoclinic
* formation energy: -0.759 eV per atom

Cell: 5.465 5.463 5.014 Å, 90.00 116.12 90.00°
Space group C2/m (No. 12)
Inequivalent atoms, fractional coordinates:
1 Ho 0.000 0.000 0.000 x2
2 As 0.100 0.500 0.285 x4



Density functional theory data (PBE-GGA) for crystalline NaReNi at its relaxed geometry.

Summary:
* final energy: -6.042 eV per atom
* offset from the most stable computed form: 0.229 eV/atom
* crystal system: triclinic
* formation energy: 0.475 eV per atom

Cell: 2.612 5.790 7.523 Å, 69.63 83.58 79.62°
Space group P1 (No. 1)
Inequivalent atoms, fractional coordinates:
1 Na 0.000 0.000 0.000 x1
2 Na 0.029 0.400 0.219 x1
3 Re 0.538 0.599 0.794 x1
4 Re 0.736 0.007 0.595 x1
5 Ni 0.109 0.379 0.602 x1
6 Ni 0.400 0.777 0.422 x1



Density functional theory data (PBE-GGA) for crystalline Ce2YNi at its relaxed geometry.

Summary:
* final energy: -6.088 eV per atom
* offset from the most stable computed form: 0.000 eV/atom
* crystal system: tetragonal
* formation energy: -0.059 eV per atom

Cell: 3.552 3.552 8.134 Å, 90.00 90.00 90.00°
Space group P4/mmm (No. 123)
Inequivalent atoms, fractional coordinates:
1 Ce 0.000 0.000 0.181 x2
2 Y 0.500 0.500 0.500 x1
3 Ni 0.500 0.500 0.000 x1



Density functional theory data (PBE-GGA) for crystalline PmZn2Ni9 at its relaxed geometry.

Summary:
* final energy: -5.155 eV per atom
* crystal system: tetragonal
* formation energy: -0.211 eV per atom

Cell: 8.091 8.091 4.760 Å, 90.00 90.00 90.00°
Space group P4/mbm (No. 127)
Inequivalent atoms, fractional coordinates:
1 Pm 0.000 0.000 0.000 x2
2 Zn 0.117 0.383 0.000 x4
3 Ni 0.000 0.500 0.500 x2
4 Ni 0.065 0.211 0.500 x8
5 Ni 0.178 0.678 0.243 x8



Which of these has the lowest final energy? Ce2YNi